# 1
This record from Alexandria describes a geometry-optimized Os3C structure. The functional is PBE.

abc: 5.290 7.627 4.876
angles: 90.00 90.00 90.00
Space group Pnma (No. 62)
Asymmetric unit:
Os (0.050, 0.250, 0.158) [4 per cell]
Os (0.203, 0.071, 0.690) [8 per cell]
C (0.104, 0.750, 0.433) [4 per cell]

Output
The energy relative to the elements comes out at 60.28 kJ per mole of atoms. The value obtained for the total energy is -161.66 eV per cell.

***

# 2
This record from Alexandria describes a geometry-optimized Os5C structure. The functional is PBE.

abc: 4.6830 4.6830 4.2824
angles: 90.00 90.00 120.00
Space group P-62m (No. 189)
Asymmetric unit:
Os (0.0000, 0.6739, 0.0000) [3 per cell]
Os (0.3333, 0.6667, 0.5000) [2 per cell]
C (0.0000, 0.0000, 0.5000) [1 per cell]

Output
The energy relative to the elements comes out at 100.62 kJ per mole of atoms. The value obtained for the total energy is -59.12 eV per cell.

***

# 3
This record from Alexandria describes a geometry-optimized OsC structure. The functional is PBE.

abc: 4.106 4.106 4.106
angles: 90.00 90.00 90.00
Space group Pm-3m (No. 221)
Asymmetric unit:
Os (0.000, 0.000, 0.500) [3 per cell]
C (0.000, 0.500, 0.500) [3 per cell]

Output
The energy relative to the elements comes out at 89.00 kJ per mole of atoms. The value obtained for the total energy is -55.83 eV per cell.

***

# 4
This record from Alexandria describes a geometry-optimized OsC structure. The functional is PBE.

abc: 3.2844 3.2844 5.3147
angles: 90.00 90.00 120.00
Space group P6_3mc (No. 186)
Asymmetric unit:
Os (0.3333, 0.6667, 0.0000) [2 per cell]
C (0.3333, 0.6667, 0.6258) [2 per cell]

Output
The energy relative to the elements comes out at 84.17 kJ per mole of atoms. The value obtained for the total energy is -37.42 eV per cell.

***

# 5
This record from Alexandria describes a geometry-optimized Os5C structure. The functional is PBE.

abc: 7.179 7.179 7.179
angles: 90.00 90.00 90.00
Space group F-43m (No. 216)
Asymmetric unit:
Os (0.000, 0.000, 0.000) [4 per cell]
Os (0.125, 0.125, 0.625) [16 per cell]
C (0.250, 0.250, 0.250) [4 per cell]

Output
The energy relative to the elements comes out at 194.25 kJ per mole of atoms. The value obtained for the total energy is -213.17 eV per cell.

***

# 6
This record from Alexandria describes a geometry-optimized Os3C structure. The functional is PBE.

abc: 3.993 3.993 3.993
angles: 90.00 90.00 90.00
Space group Pm-3m (No. 221)
Asymmetric unit:
Os (0.000, 0.000, 0.500) [3 per cell]
C (0.000, 0.000, 0.000) [1 per cell]

Output
The energy relative to the elements comes out at 126.68 kJ per mole of atoms. The value obtained for the total energy is -37.66 eV per cell.

***

# 7
This record from Alexandria describes a geometry-optimized Os3C structure. The functional is PBE.

abc: 2.8101 2.8101 7.1612
angles: 90.00 90.00 120.00
Space group P-6m2 (No. 187)
Asymmetric unit:
Os (0.0000, 0.0000, 0.0000) [1 per cell]
Os (0.6667, 0.3333, 0.3052) [2 per cell]
C (0.0000, 0.0000, 0.5000) [1 per cell]

Output
The energy relative to the elements comes out at 32.66 kJ per mole of atoms. The value obtained for the total energy is -41.56 eV per cell.

***

# 8
This record from Alexandria describes a geometry-optimized OsC structure. The functional is PBE.

abc: 3.3385 3.3385 9.0030
angles: 90.00 90.00 120.00
Space group P6_3/mmc (No. 194)
Asymmetric unit:
Os (0.3333, 0.6667, 0.1106) [4 per cell]
C (0.0000, 0.0000, 0.2500) [2 per cell]
C (0.3333, 0.6667, 0.7500) [2 per cell]

Output
The energy relative to the elements comes out at 209.00 kJ per mole of atoms. The value obtained for the total energy is -64.49 eV per cell.

***

Values for N(E_F), states/eV per cell, ordered as above
10.8; 4.2; 4.3; 2.0; 33.3; 5.7; 1.8; 4.5